The following is a DFT calculation (PBE) of crystalline Bi4Sb6O19 at its relaxed geometry.

```
Bi4Sb6O19
1.0
-7.664 2.920 -1.254
0.676 -7.540 -3.394
1.472 -0.493 8.150
O Bi Sb
19 4 6
Direct
0.360 0.000 0.360
0.393 0.709 0.746
0.254 0.963 0.646
0.709 0.746 0.393
0.640 0.640 0.000
0.037 0.291 0.683
0.963 0.646 0.254
0.646 0.254 0.963
0.683 0.037 0.291
0.640 0.000 0.640
0.746 0.393 0.709
0.291 0.683 0.037
0.607 0.354 0.317
0.354 0.317 0.607
0.000 0.640 0.640
0.360 0.360 0.000
0.000 0.360 0.360
0.317 0.607 0.354
0.000 0.000 0.000
0.292 0.292 0.292
0.708 0.000 0.000
0.000 0.000 0.708
0.000 0.708 0.000
0.833 0.333 0.500
0.500 0.167 0.667
0.500 0.833 0.333
0.167 0.667 0.500
0.667 0.500 0.167
0.333 0.500 0.833
```

Output
Its symmetry is I23, No. 197. The volume comes out at 439.61 Å³/cell. Its crystal system is cubic. The value obtained for the total energy is -5.8174 eV per atom. Its density of states at the Fermi level is 7.0 states/eV/cell. The value obtained for the formation energy from raw total energies is -1.18 eV per atom.


The following is a DFT calculation (PBE) of crystalline Bi2Sb2O7 at its relaxed geometry.

```
Bi2Sb2O7
1.0
5.248 -0.062 -0.044
-0.068 5.452 1.673
-0.113 -1.111 5.594
O Sb Bi
7 2 2
Direct
0.749 0.466 0.080
0.000 0.000 0.000
0.260 0.436 0.436
0.251 0.534 0.920
0.740 0.564 0.564
0.749 0.080 0.466
0.251 0.920 0.534
0.999 0.243 0.243
0.001 0.757 0.757
0.500 0.267 0.733
0.500 0.733 0.267
```

Output
Its symmetry is C2/m, No. 12. The volume comes out at 169.75 Å³/cell. Its crystal system is monoclinic. The value obtained for the total energy is -5.7853 eV per atom. Its density of states at the Fermi level is 0.2 states/eV/cell. The value obtained for the formation energy from raw total energies is -1.17 eV per atom.


The following is a DFT calculation (PBE) of crystalline Bi3SbO at its relaxed geometry.

```
Bi3SbO
1.0
5.828 0.000 0.000
0.000 5.828 0.000
0.000 0.000 5.828
Sb O Bi
1 1 3
Direct
0.000 0.000 0.000
0.500 0.500 0.500
0.500 0.000 0.000
0.000 0.000 0.500
0.000 0.500 0.000
```

Output
Its symmetry is Pm-3m, No. 221. For the excess energy over the best structure of this formula in the dataset, the calculation gives 1294 meV/atom. The volume comes out at 197.96 Å³/cell. Its crystal system is cubic. The value obtained for the total energy is -2.9159 eV per atom. Its density of states at the Fermi level is 24.2 states/eV/cell. The value obtained for the formation energy from raw total energies is 1.23 eV per atom.


The following is a DFT calculation (PBE) of crystalline Bi12SbO20 at its relaxed geometry.

```
Bi12SbO20
1.0
-8.884 1.568 0.146
1.484 -8.749 -1.634
3.577 2.218 7.981
O Bi Sb
20 12 1
Direct
0.737 0.625 0.373
0.363 0.627 0.251
0.776 0.776 0.776
0.251 0.363 0.627
0.375 0.112 0.749
0.627 0.251 0.363
0.000 0.614 0.000
0.625 0.373 0.737
0.000 0.000 0.614
0.373 0.737 0.625
0.000 0.000 0.224
0.637 0.888 0.263
0.749 0.375 0.112
0.224 0.000 0.000
0.263 0.637 0.888
0.386 0.386 0.386
0.614 0.000 0.000
0.888 0.263 0.637
0.112 0.749 0.375
0.000 0.224 0.000
0.303 0.804 0.143
0.143 0.303 0.804
0.499 0.339 0.196
0.196 0.499 0.339
0.501 0.697 0.840
0.339 0.196 0.499
0.857 0.661 0.160
0.697 0.840 0.501
0.840 0.501 0.697
0.661 0.160 0.857
0.160 0.857 0.661
0.804 0.143 0.303
0.000 0.000 0.000
```

Output
Its symmetry is I23, No. 197. The volume comes out at 565.47 Å³/cell. Its crystal system is cubic. The value obtained for the total energy is -5.7444 eV per atom. Its density of states at the Fermi level is 1.8 states/eV/cell. The value obtained for the formation energy from raw total energies is -1.20 eV per atom.


Number 1: total moment 0.0 μB per formula unit. Number 2: total moment 0.0 μB per formula unit. Number 3: total moment 0.0 μB per formula unit. Number 4: total moment 1.0 μB per formula unit.